No. 1
The following is a PBE calculation of a relaxed Mg2ZrRh2 crystal, from Alexandria via LeMat-Bulk.

Cell: 7.4229 7.4229 3.1302 Å, 90.00 90.00 90.00°
Atoms (fractional coordinates):
Mg  0.1379  0.3621  0.0000
Mg  0.3621  0.8621  0.0000
Mg  0.6379  0.1379  0.0000
Mg  0.8621  0.6379  0.0000
Zr  0.0000  0.0000  0.5000
Zr  0.5000  0.5000  0.5000
Rh  0.1604  0.6604  0.5000
Rh  0.3396  0.1604  0.5000
Rh  0.6604  0.8396  0.5000
Rh  0.8396  0.3396  0.5000

## Properties
- E above lowest polymorph: 80 meV/atom
- Formation energy: -2.42 eV/f.u.

***

No. 2
The following is a PBE calculation of a relaxed PaSbPd6 crystal, from Alexandria via LeMat-Bulk.

Cell: 4.1338 4.1338 8.1369 Å, 90.00 90.00 90.00°
Atoms (fractional coordinates):
Pa  0.0000  0.0000  0.0000
Sb  0.0000  0.0000  0.5000
Pd  0.0000  0.5000  0.2437
Pd  0.0000  0.5000  0.7563
Pd  0.5000  0.0000  0.2437
Pd  0.5000  0.0000  0.7563
Pd  0.5000  0.5000  0.0000
Pd  0.5000  0.5000  0.5000

## Properties
- E above lowest polymorph: 0 meV/atom